First-principles (PBE-GGA) data for a geometry-optimized KNaNi3 structure, as listed in the Alexandria database.

Unit cell a=4.8079 b=4.8079 c=4.8079 alpha=90.00 beta=90.00 gamma=90.00
With the nearest neighbours (Å) after each atom.
Space group Pm-3m (No. 221)
Inequivalent atoms, fractional coordinates:
K1 0.0000 0.0000 0.0000  12 Ni 3.40
Na1 0.5000 0.5000 0.5000  6 Ni 2.40
Ni1 0.0000 0.5000 0.5000  2 Na 2.40

Calculated values
ΔE_f: 696 kJ/mol of formula units
Electronic total energy: -2.510 eV per atom
N(E_F): 2.244 states/eV per atom

---

First-principles (PBE-GGA) data for a geometry-optimized TbPrNd5Ho2 structure, as listed in the Alexandria database.

Unit cell a=5.6914 b=20.4436 c=10.7871 alpha=90.00 beta=90.00 gamma=90.00
With the nearest neighbours (Å) after each atom.
Space group Cmc2_1 (No. 36)
Inequivalent atoms, fractional coordinates:
Tb1 0.0000 0.0888 0.0000  5 Nd 3.09-3.38
Pr1 0.0000 0.2977 0.5528  2 Ho 3.48-3.78, 8 Nd 3.53-3.89, 2 Tb 3.72
Nd1 0.0000 0.0213 0.2862  2 Tb 3.22-3.38, 2 Nd 3.52-3.53, 2 Ho 3.55
Nd2 0.0000 0.1075 0.5701  5 Nd 3.52-3.81, 4 Ho 3.62-3.65, 1 Pr 3.89
Nd3 0.0000 0.2038 0.2470  3 Nd 3.45-3.75, 3 Pr 3.53-3.82, 1 Tb 3.55, 3 Ho 3.58-3.82
Nd4 0.0000 0.2183 0.8521  1 Tb 3.09, 1 Ho 3.37, 2 Nd 3.45
Nd5 0.0000 0.4833 0.5672  2 Tb 3.29, 3 Ho 3.47-3.62
Ho1 0.0000 0.3831 0.8632  8 Nd 3.37-3.62
Ho2 0.0000 0.3899 0.2816  7 Nd 3.47-3.82, 1 Pr 3.48, 2 Tb 3.72

Calculated values
ΔE_f: 125 kJ/mol of formula units
Electronic total energy: -4.567 eV per atom
N(E_F): 1.547 states/eV per atom

---

First-principles (PBE-GGA) data for a geometry-optimized RbCeCl5 structure, as listed in the Alexandria database.

Unit cell a=12.6603 b=8.8077 c=10.8676 alpha=90.00 beta=113.73 gamma=90.00
With the nearest neighbours (Å) after each atom.
Space group C2/c (No. 15)
Inequivalent atoms, fractional coordinates:
Rb1 0.0000 0.0397 0.2500  7 Cl 3.36-3.55
Ce1 0.0000 0.5000 0.0000  6 Cl 2.57-2.76
Cl1 0.0000 0.4433 0.2500  2 Ce 2.76
Cl2 0.0612 0.2168 0.9993  1 Ce 2.61
Cl3 0.2124 0.4174 0.6107  1 Ce 2.57

Calculated values
Electronic total energy: -4.277 eV per atom
Formation energy (no corrections): -13.8 eV/f.u.

---

First-principles (PBE-GGA) data for a geometry-optimized PmBeZn2Pt4 structure, as listed in the Alexandria database.

Unit cell a=4.3317 b=4.3317 c=24.4255 alpha=90.00 beta=90.00 gamma=120.00
With the nearest neighbours (Å) after each atom.
Space group R-3m (No. 166, hexagonal axes)
Inequivalent atoms, fractional coordinates:
Pm1 0.0000 0.0000 0.0000  8 Pt 3.07-3.29, 6 Zn 3.32
Be1 0.0000 0.0000 0.5000  2 Pt 2.28
Zn1 0.0000 0.0000 0.2438  7 Pt 2.53-2.73
Pt1 0.0000 0.0000 0.1346  3 Be 2.62, 4 Zn 2.67-2.73, 3 Pt 2.92
Pt2 0.0000 0.0000 0.4066  1 Be 2.28, 3 Zn 2.53

Calculated values
ΔE_f: -550 kJ/mol of formula units
Electronic total energy: -5.110 eV per atom
N(E_F): 0.547 states/eV per atom

---

First-principles (PBE-GGA) data for a geometry-optimized Ni2H2Ru structure, as listed in the Alexandria database.

Unit cell a=2.6609 b=2.6609 c=11.6465 alpha=90.00 beta=90.00 gamma=90.00
With the nearest neighbours (Å) after each atom.
Space group I4/mmm (No. 139)
Inequivalent atoms, fractional coordinates:
Ni1 0.0000 0.0000 0.1583  4 H 1.71
H1 0.0000 0.5000 0.2500  4 Ni 1.71, 4 H 1.88
Ru1 0.0000 0.0000 0.5000  8 Ni 2.63, 4 Ru 2.66

Calculated values
Electronic total energy: -5.409 eV per atom
N(E_F): 0.771 states/eV per atom

---

First-principles (PBE-GGA) data for a geometry-optimized Ca2GaBi structure, as listed in the Alexandria database.

Unit cell a=3.9605 b=3.9605 c=7.2555 alpha=90.00 beta=90.00 gamma=90.00
With the nearest neighbours (Å) after each atom.
Space group P4/mmm (No. 123)
Inequivalent atoms, fractional coordinates:
Ca1 0.0000 0.0000 0.2405  4 Ga 3.30, 4 Bi 3.37, 1 Ca 3.49
Ga1 0.5000 0.5000 0.0000  8 Ca 3.30, 2 Bi 3.63
Bi1 0.5000 0.5000 0.5000  8 Ca 3.37, 2 Ga 3.63

Calculated values
ΔE_f: -215 kJ/mol of formula units
Electronic total energy: -3.285 eV per atom
N(E_F): 0.387 states/eV per atom

---

First-principles (PBE-GGA) data for a geometry-optimized Pa4TcTe2Se structure, as listed in the Alexandria database.

Unit cell a=7.2703 b=4.0231 c=7.5346 alpha=90.00 beta=107.38 gamma=90.00
With the nearest neighbours (Å) after each atom.
Space group P2/m (No. 10)
Inequivalent atoms, fractional coordinates:
Pa1 0.2227 0.0000 0.2069  2 Tc 2.75, 1 Se 2.89
Pa2 0.2488 0.5000 0.7842  1 Tc 2.77, 2 Se 2.87, 2 Te 3.10
Tc1 0.0000 0.5000 0.0000  6 Pa 2.75-2.77
Te1 0.0000 0.0000 0.5000  6 Pa 3.10
Te2 0.5000 0.5000 0.5000  6 Pa 3.20-3.21
Se1 0.5000 0.0000 0.0000  6 Pa 2.87-2.89

Calculated values
Electronic total energy: -7.964 eV per atom
N(E_F): 1.517 states/eV per atom
Formation energy (no corrections): -5.6 eV/f.u.

---

First-principles (PBE-GGA) data for a geometry-optimized NaGa2F8 structure, as listed in the Alexandria database.

Unit cell a=9.9255 b=6.0425 c=5.2718 alpha=90.00 beta=103.76 gamma=90.00
With the nearest neighbours (Å) after each atom.
Space group C2/m (No. 12)
Inequivalent atoms, fractional coordinates:
Na1 0.0000 0.0000 0.0000  6 F 2.14-2.35
Ga1 0.2403 0.5000 0.4580  6 F 1.79-1.99
F1 0.0890 0.5000 0.6379  1 Ga 1.96, 1 F 2.00
F2 0.1371 0.0000 0.7424  1 Ga 1.79
F3 0.1595 0.2237 0.2906  2 Ga 1.97-1.99

Calculated values
Electronic total energy: -4.353 eV per atom
N(E_F): 0.018 states/eV per atom
Formation energy (no corrections): -25.5 eV/f.u.

---

Q: What is the electronic total energy in the eighth record?
A: -4.353 eV per atom